Material: PrMg7Cd5
Method: DFT, PBE-GGA
State: optimized geometry

The structure in CIF format:
```
data_PrMg7Cd5
_space_group_name_H-M_alt 'I m m 2'
_space_group_IT_number 44
_space_group_name_Hall 'I 2 -2'
_cell_length_a 5.934
_cell_length_b 10.044
_cell_length_c 10.015
_cell_angle_alpha 90.00
_cell_angle_beta 90.00
_cell_angle_gamma 90.00
loop_
_atom_site_label
_atom_site_type_symbol
_atom_site_fract_x
_atom_site_fract_y
_atom_site_fract_z
_atom_site_occupancy
Pr1 Pr 0.000 0.000 0.000 1
Mg1 Mg 0.000 0.000 0.351 1
Mg2 Mg 0.000 0.000 0.651 1
Mg3 Mg 0.000 0.288 0.497 1
Mg4 Mg 0.000 0.350 0.000 1
Mg5 Mg 0.000 0.500 0.716 1
Cd1 Cd 0.000 0.500 0.290 1
Cd2 Cd 0.250 0.247 0.247 1
```

Values from the calculation:
The formation energy is -0.16 eV per atom. The crystal system is orthorhombic. Its total magnetization is 0.000 μB per formula unit. The value obtained for the density of states at the Fermi level is 0.336 states/eV per atom.